# Ce8Ga2Hg3 | Alexandria | PBE-GGA | relaxed
# - Calculated total energy: -4.352 eV/atom
# - DFT formation energy: -15.9 kJ/mol of atoms
data_Ce8Ga2Hg3
_space_group_name_H-M_alt 'C 1 2/m 1'
_space_group_IT_number 12
_cell_length_a 13.903
_cell_length_b 9.635
_cell_length_c 5.470
_cell_angle_alpha 90.00
_cell_angle_beta 99.42
_cell_angle_gamma 90.00
loop_
_space_group_symop_operation_xyz
'x,y,z'
'-x,-y,-z'
'-x,y,-z'
'x,-y,z'
'x+1/2,y+1/2,z'
'-x+1/2,-y+1/2,-z'
'-x+1/2,y+1/2,-z'
'x+1/2,-y+1/2,z'
loop_
_atom_site_label
_atom_site_fract_x
_atom_site_fract_y
_atom_site_fract_z
Ce1 0.126 0.206 0.055
Ce2 0.149 0.000 0.403
Ce3 0.149 0.500 0.547
Ga1 0.232 0.500 0.074
Hg1 0.000 0.243 0.500
Hg2 0.000 0.500 0.000